## ScCo2Ni (PBE-GGA)

Data for a geometry-optimized ScCo2Ni structure.

Results
Symmetry: I4/mmm, No. 139
Formation enthalpy at 0 K, meV/atom: -103

The structure in POSCAR format:
```
ScCo2Ni
1.0
3.658 0.000 0.000
0.000 3.658 0.000
0.000 0.000 7.797
Sc Co Ni
2 4 2
Direct
0.000 0.000 0.000
0.500 0.500 0.500
0.000 0.500 0.250
0.000 0.500 0.750
0.500 0.000 0.250
0.500 0.000 0.750
0.000 0.000 0.500
0.500 0.500 0.000
```